Entry 1:
This record from the Alexandria database describes a geometry-optimized Nb3HgN structure. The functional is PBEsol.

Cell: 4.9728 4.9728 4.9728 Å, 90.00 90.00 90.00°
Closest atoms and distances in Å follow each position.
Atoms (fractional coordinates):
Nb 0.0000 0.5000 0.0000  2 Hg 2.49
Nb 0.0000 0.0000 0.5000  2 Hg 2.49
Nb 0.5000 0.0000 0.0000  2 Hg 2.49
Hg 0.0000 0.0000 0.0000  6 Nb 2.49
N 0.5000 0.5000 0.5000  12 Nb 3.52

Computed properties:
* formation energy without anion corrections: 1481 kJ/mol of formula units
* symmetry: No. 221

Entry 2:
This record from the Alexandria database describes a geometry-optimized KTcH3 structure. The functional is PBEsol.

Cell: 4.2098 4.2098 4.2098 Å, 90.00 90.00 90.00°
Closest atoms and distances in Å follow each position.
Atoms (fractional coordinates):
H 0.0000 0.5000 0.0000  2 K 2.10
H 0.0000 0.0000 0.5000  2 K 2.10
H 0.5000 0.0000 0.0000  2 K 2.10
K 0.0000 0.0000 0.0000  6 H 2.10
Tc 0.5000 0.5000 0.5000  12 H 2.98

Computed properties:
* symmetry: No. 221

Entry 3:
This record from the Alexandria database describes a geometry-optimized CaMn4O6 structure. The functional is PBEsol.

Cell: 3.0791 5.2348 15.1548 Å, 90.00 90.00 107.10°
Closest atoms and distances in Å follow each position.
Atoms (fractional coordinates):
Ca 0.6629 0.3257 0.7500  6 O 2.28-2.40
Ca 0.3371 0.6743 0.2500  6 O 2.28-2.40
Mn 0.8632 0.7264 0.4576  2 O 1.90-2.00
Mn 0.4086 0.8172 0.8663  3 O 1.93-2.11
Mn 0.1368 0.2736 0.5424  2 O 1.90-2.00
Mn 0.5914 0.1828 0.1337  3 O 1.93-2.11
Mn 0.8632 0.7264 0.0424  2 O 1.90-2.00
Mn 0.1368 0.2736 0.9576  2 O 1.90-2.00
Mn 0.5914 0.1828 0.3663  3 O 1.93-2.11
Mn 0.4086 0.8172 0.6337  3 O 1.93-2.11
O 0.5000 0.0000 0.0000  6 Mn 2.16-2.22
O 0.5000 0.0000 0.5000  6 Mn 2.16-2.22
O 0.0499 0.0998 0.6536  3 Mn 1.90-2.11
O 0.9501 0.9002 0.3464  3 Mn 1.90-2.11
O 0.9501 0.9002 0.1536  3 Mn 1.90-2.11
O 0.0499 0.0998 0.8464  3 Mn 1.90-2.11
O 0.7803 0.5605 0.5774  5 Mn 2.00-2.18
O 0.2197 0.4395 0.4226  5 Mn 2.00-2.18
O 0.2197 0.4395 0.0774  5 Mn 2.00-2.18
O 0.7803 0.5605 0.9226  5 Mn 2.00-2.18
O 0.3308 0.6616 0.7500  2 Mn 1.93
O 0.6692 0.3384 0.2500  2 Mn 1.93

Computed properties:
* formation energy without anion corrections: -1814 kJ/mol of formula units
* symmetry: No. 63

Entry 4:
This record from the Alexandria database describes a geometry-optimized BaTiOs2 structure. The functional is PBEsol.

Cell: 4.7122 4.7122 4.7122 Å, 60.00 60.00 60.00°
Closest atoms and distances in Å follow each position.
Atoms (fractional coordinates):
Os 0.2500 0.2500 0.2500  4 Ti 2.89, 4 Ba 2.89
Os 0.7500 0.7500 0.7500  4 Ti 2.89, 4 Ba 2.89
Ba 0.5000 0.5000 0.5000  8 Os 2.89
Ti 0.0000 0.0000 0.0000  8 Os 2.89

Computed properties:
* symmetry: No. 225
* energy of formation: 3.87 eV/f.u.

Entry 5:
This record from the Alexandria database describes a geometry-optimized LiPW2 structure. The functional is PBEsol.

Cell: 3.1660 3.1660 5.4120 Å, 90.00 90.00 90.00°
Closest atoms and distances in Å follow each position.
Atoms (fractional coordinates):
Li 0.0000 0.0000 0.5115  4 P 2.55, 6 W 2.60-2.81
P 0.5000 0.5000 0.7387  4 Li 2.55, 6 W 2.60-2.81
W 0.0000 0.0000 0.9922  2 Li 2.60-2.81, 4 P 2.63, 4 W 2.66
W 0.5000 0.5000 0.2576  2 P 2.60-2.81, 4 Li 2.63, 4 W 2.66

Computed properties:
* symmetry: No. 99
* energy of formation: 0.26 eV/f.u.

Entry 6:
This record from the Alexandria database describes a geometry-optimized Rb3AuF structure. The functional is PBEsol.

Cell: 5.4634 5.4634 5.4634 Å, 90.00 90.00 90.00°
Closest atoms and distances in Å follow each position.
Atoms (fractional coordinates):
Au 0.5000 0.5000 0.5000  12 Rb 3.86
Rb 0.0000 0.5000 0.0000  2 F 2.73
Rb 0.0000 0.0000 0.5000  2 F 2.73
Rb 0.5000 0.0000 0.0000  2 F 2.73
F 0.0000 0.0000 0.0000  6 Rb 2.73

Computed properties:
* formation energy without anion corrections: -520 kJ/mol of formula units
* symmetry: No. 221

Entry 7:
This record from the Alexandria database describes a geometry-optimized Cr2CdAgHg structure. The functional is PBEsol.

Cell: 4.9600 4.9600 5.0529 Å, 90.00 90.00 90.00°
Closest atoms and distances in Å follow each position.
Atoms (fractional coordinates):
Cr 0.0000 0.5000 0.0000  2 Ag 2.48
Cr 0.5000 0.0000 0.0000  2 Ag 2.48
Hg 0.0000 0.0000 0.5000  2 Ag 2.53
Ag 0.0000 0.0000 0.0000  4 Cr 2.48, 2 Hg 2.53
Cd 0.5000 0.5000 0.5000  4 Hg 3.51, 8 Cr 3.54

Computed properties:
* symmetry: No. 123
* energy of formation: 6.12 eV/f.u.

Entry 8:
This record from the Alexandria database describes a geometry-optimized CoNiBiRu2 structure. The functional is PBEsol.

Cell: 4.2249 4.4714 4.4714 Å, 90.00 90.00 90.00°
Closest atoms and distances in Å follow each position.
Atoms (fractional coordinates):
Ru 0.0000 0.0000 0.5000  2 Ni 2.24
Ru 0.0000 0.5000 0.0000  2 Ni 2.24
Co 0.5000 0.0000 0.0000  2 Ni 2.11
Bi 0.5000 0.5000 0.5000  8 Ru 3.08, 4 Co 3.16
Ni 0.0000 0.0000 0.0000  2 Co 2.11, 4 Ru 2.24

Computed properties:
* symmetry: No. 123
* energy of formation: 5.84 eV/f.u.

Entry 9:
This record from the Alexandria database describes a geometry-optimized SrCa2Cr structure. The functional is PBEsol.

Cell: 5.7670 5.7670 5.7670 Å, 60.00 60.00 60.00°
Closest atoms and distances in Å follow each position.
Atoms (fractional coordinates):
Sr 0.2500 0.2500 0.2500  4 Cr 3.53, 4 Ca 3.53
Ca 0.0000 0.0000 0.0000  4 Ca 3.53, 4 Sr 3.53
Ca 0.7500 0.7500 0.7500  4 Ca 3.53, 4 Cr 3.53
Cr 0.5000 0.5000 0.5000  4 Ca 3.53, 4 Sr 3.53

Computed properties:
* energy relative to the lowest polymorph listed for this composition: 0 meV/atom
* symmetry: No. 216
* energy of formation: 2.11 eV/f.u.

Entry 10:
This record from the Alexandria database describes a geometry-optimized Sm4Bi3 structure. The functional is PBEsol.

Cell: 8.1573 8.1573 8.1573 Å, 109.47 109.47 109.47°
Closest atoms and distances in Å follow each position.
Atoms (fractional coordinates):
Sm 0.5000 0.6447 0.5000  6 Bi 3.15-3.38
Sm 0.3553 0.3553 0.8553  6 Bi 3.15-3.38
Sm 0.0000 0.5000 0.6447  6 Bi 3.15-3.38
Sm 0.1447 0.0000 0.0000  6 Bi 3.15-3.38
Sm 0.0000 0.5000 0.1447  6 Bi 3.15-3.38
Sm 0.6447 0.0000 0.0000  6 Bi 3.15-3.38
Sm 0.8553 0.8553 0.3553  6 Bi 3.15-3.38
Sm 0.5000 0.1447 0.5000  6 Bi 3.15-3.38
Bi 0.3750 0.7500 0.1250  8 Sm 3.15-3.38
Bi 0.2500 0.8750 0.6250  8 Sm 3.15-3.38
Bi 0.7500 0.6250 0.8750  8 Sm 3.15-3.38
Bi 0.6250 0.3750 0.2500  8 Sm 3.15-3.38
Bi 0.8750 0.1250 0.7500  8 Sm 3.15-3.38
Bi 0.1250 0.2500 0.3750  8 Sm 3.15-3.38

Computed properties:
* symmetry: No. 220
* energy of formation: -6.00 eV/f.u.

Entry 11:
This record from the Alexandria database describes a geometry-optimized Hf2CrAg structure. The functional is PBEsol.

Cell: 4.5987 4.5987 4.5987 Å, 60.00 60.00 60.00°
Closest atoms and distances in Å follow each position.
Atoms (fractional coordinates):
Cr 0.0000 0.0000 0.0000  8 Hf 2.82
Hf 0.2500 0.2500 0.2500  4 Cr 2.82, 4 Ag 2.82
Hf 0.7500 0.7500 0.7500  4 Ag 2.82, 4 Cr 2.82
Ag 0.5000 0.5000 0.5000  8 Hf 2.82

Computed properties:
* symmetry: No. 225
* energy of formation: 0.57 eV/f.u.

Entry 12:
This record from the Alexandria database describes a geometry-optimized CrFeRh2 structure. The functional is PBEsol.

Cell: 2.6251 3.5791 5.2774 Å, 90.00 90.00 90.00°
Closest atoms and distances in Å follow each position.
Atoms (fractional coordinates):
Cr 0.5000 0.5000 0.0000  8 Rh 2.58, 2 Cr 2.63, 2 Fe 2.64
Rh 0.0000 0.0000 0.7513  4 Cr 2.58, 4 Fe 2.59, 4 Rh 2.63-2.65
Rh 0.0000 0.0000 0.2487  4 Cr 2.58, 4 Fe 2.59, 4 Rh 2.63-2.65
Fe 0.5000 0.5000 0.5000  8 Rh 2.59, 2 Fe 2.63, 2 Cr 2.64

Computed properties:
* symmetry: No. 47
* energy of formation: -0.19 eV/f.u.

Entry 13:
This record from the Alexandria database describes a geometry-optimized Cd2TcSe structure. The functional is PBEsol.

Cell: 3.1636 4.2355 6.4077 Å, 109.30 90.00 90.00°
Closest atoms and distances in Å follow each position.
Atoms (fractional coordinates):
Cd 0.0000 0.0942 0.1884  4 Tc 2.76
Cd 0.5000 0.4348 0.8695  1 Tc 2.73, 4 Se 3.04
Se 0.0000 0.8098 0.6197  2 Tc 2.40
Tc 0.5000 0.6604 0.3208  2 Se 2.40

Computed properties:
* formation energy without anion corrections: 65 kJ/mol of formula units
* symmetry: No. 38

| no. | DOS(E_F) (states/eV per cell) | energy (eV/atom) |
| --- | --- | --- |
| 1 | 6.41 | -5.241 |
| 2 | 1.72 | -2.688 |
| 3 | 7.75 | -8.316 |
| 4 | 2.94 | -7.758 |
| 5 | 1.34 | -8.779 |
| 6 | 2.54 | -2.864 |
| 7 | 3.42 | -3.887 |
| 8 | 6.19 | -6.538 |
| 9 | 5.61 | -3.560 |
| 10 | 14.70 | -5.604 |
| 11 | 3.62 | -8.497 |
| 12 | 3.49 | -8.919 |
| 13 | 3.25 | -4.209 |